(1)
Compound: Y6AuC3
Source: the Alexandria database
Functional: PBE
Structure: relaxed

Symmetry: No. 11
DFT formation energy in kJ/mol of formula units: -362

Cell lengths 10.9032, 3.6497, 11.4296 Å; angles 90.00, 108.70, 90.00 degrees
Closest atoms and distances in Å follow each position.
Fractional positions:
1 Y 0.0369 0.2500 0.3773  4 C 2.57-2.70
2 Y 0.1402 0.7500 0.1325  2 C 2.51
3 Y 0.2550 0.2500 0.6698  3 C 2.44-2.55
4 Y 0.3204 0.7500 0.4331  3 C 2.44-2.46
5 Y 0.3623 0.7500 0.9484  3 C 2.45-2.54
6 Y 0.4434 0.2500 0.2351  3 C 2.47-2.50
7 Y 0.5566 0.7500 0.7649  3 C 2.47-2.50
8 Y 0.6377 0.2500 0.0516  3 C 2.45-2.54
9 Y 0.6796 0.2500 0.5669  3 C 2.44-2.46
10 Y 0.7450 0.7500 0.3302  3 C 2.44-2.55
11 Y 0.8598 0.2500 0.8675  2 C 2.51
12 Y 0.9631 0.7500 0.6227  4 C 2.57-2.70
13 Au 0.1318 0.2500 0.8893  4 Y 2.90-3.20
14 Au 0.8682 0.7500 0.1107  4 Y 2.90-3.20
15 C 0.1527 0.7500 0.5317  6 Y 2.44-2.60
16 C 0.2363 0.2500 0.2848  6 Y 2.46-2.70
17 C 0.4624 0.2500 0.8536  6 Y 2.45-2.55
18 C 0.5376 0.7500 0.1464  6 Y 2.45-2.55
19 C 0.7637 0.7500 0.7152  6 Y 2.46-2.70
20 C 0.8473 0.2500 0.4683  6 Y 2.44-2.60

(2)
Compound: CdTe2Rh
Source: the Alexandria database
Functional: PBE
Structure: relaxed

Symmetry: No. 12
E_form (uncorrected) in eV per atom: 0.12

Cell lengths 5.0432, 5.0432, 5.0316 Å; angles 111.25, 111.25, 105.78 degrees
Closest atoms and distances in Å follow each position.
Fractional positions:
1 Cd 0.0000 0.0000 0.0000  4 Te 2.84, 2 Rh 3.04
2 Te 0.0000 0.5000 0.5000  2 Cd 2.84, 2 Rh 2.84, 2 Te 3.04
3 Te 0.5000 0.0000 0.5000  2 Cd 2.84, 2 Rh 2.84, 2 Te 3.04
4 Rh 0.5000 0.5000 0.0000  4 Te 2.84, 2 Cd 3.04

(3)
Compound: In2BiRhI
Source: the Alexandria database
Functional: PBE
Structure: relaxed

Symmetry: No. 123
E_form (uncorrected) in eV per atom: -0.19

Cell lengths 5.2762, 5.2762, 5.3215 Å; angles 90.00, 90.00, 90.00 degrees
Closest atoms and distances in Å follow each position.
Fractional positions:
1 In 0.0000 0.5000 0.0000  2 Rh 2.64
2 In 0.5000 0.0000 0.0000  2 Rh 2.64
3 Bi 0.0000 0.0000 0.5000  2 Rh 2.66
4 Rh 0.0000 0.0000 0.0000  4 In 2.64, 2 Bi 2.66
5 I 0.5000 0.5000 0.5000  4 Bi 3.73, 8 In 3.75

(4)
Compound: AgSF3
Source: the Alexandria database
Functional: PBE
Structure: relaxed

Symmetry: No. 221
E_form (uncorrected) in eV per atom: -0.54
ΔE to the lowest computed polymorph in eV/atom: 0.000

Cell lengths 4.2731, 4.2731, 4.2731 Å; angles 90.00, 90.00, 90.00 degrees
Closest atoms and distances in Å follow each position.
Fractional positions:
1 Ag 0.0000 0.0000 0.0000  12 F 3.02
2 S 0.5000 0.5000 0.5000  6 F 2.14
3 F 0.0000 0.5000 0.5000  2 S 2.14
4 F 0.5000 0.0000 0.5000  2 S 2.14
5 F 0.5000 0.5000 0.0000  2 S 2.14

(5)
Compound: YCdAu
Source: the Alexandria database
Functional: PBE
Structure: relaxed

Symmetry: No. 51
DFT formation energy in kJ/mol of formula units: -186

Cell lengths 13.6832, 3.8908, 7.8810 Å; angles 90.00, 90.00, 90.00 degrees
Closest atoms and distances in Å follow each position.
Fractional positions:
1 Y 0.0493 0.0000 0.2296  5 Au 3.06-3.23, 6 Cd 3.33-3.39
2 Y 0.2500 0.0000 0.8271  5 Au 2.98-3.01
3 Y 0.4507 0.0000 0.2296  5 Au 3.06-3.23, 6 Cd 3.33-3.39
4 Y 0.5493 0.0000 0.7704  5 Au 3.06-3.23, 6 Cd 3.33-3.39
5 Y 0.7500 0.0000 0.1729  5 Au 2.98-3.01
6 Y 0.9507 0.0000 0.7704  5 Au 3.06-3.23, 6 Cd 3.33-3.39
7 Cd 0.1075 0.5000 0.5609  3 Au 2.90-2.93, 1 Cd 3.09
8 Cd 0.2500 0.5000 0.1820  4 Au 2.84-2.88
9 Cd 0.3925 0.5000 0.5609  3 Au 2.90-2.93, 1 Cd 3.09
10 Cd 0.6075 0.5000 0.4391  3 Au 2.90-2.93, 1 Cd 3.09
11 Cd 0.7500 0.5000 0.8180  4 Au 2.84-2.88
12 Cd 0.8925 0.5000 0.4391  3 Au 2.90-2.93, 1 Cd 3.09
13 Au 0.0963 0.5000 0.9326  1 Au 2.84, 2 Cd 2.88-2.93, 6 Y 2.98-3.11
14 Au 0.2500 0.0000 0.4450  6 Cd 2.84-2.90, 1 Y 3.01
15 Au 0.4037 0.5000 0.9326  1 Au 2.84, 2 Cd 2.88-2.93, 6 Y 2.98-3.11
16 Au 0.5963 0.5000 0.0674  1 Au 2.84, 2 Cd 2.88-2.93, 6 Y 2.98-3.11
17 Au 0.7500 0.0000 0.5550  6 Cd 2.84-2.90, 1 Y 3.01
18 Au 0.9037 0.5000 0.0674  1 Au 2.84, 2 Cd 2.88-2.93, 6 Y 2.98-3.11

(6)
Compound: Ta2MnFeH
Source: the Alexandria database
Functional: PBE
Structure: relaxed

Symmetry: No. 123
ΔE to the lowest computed polymorph in eV/atom: 0.000

Cell lengths 4.2637, 4.2637, 3.2816 Å; angles 90.00, 90.00, 90.00 degrees
Closest atoms and distances in Å follow each position.
Fractional positions:
1 Ta 0.0000 0.5000 0.0000  2 H 2.13
2 Ta 0.5000 0.0000 0.0000  2 H 2.13
3 Mn 0.0000 0.0000 0.5000  8 Ta 2.69
4 Fe 0.5000 0.5000 0.5000  2 H 1.64
5 H 0.5000 0.5000 0.0000  2 Fe 1.64